[1]
This record from Alexandria describes a geometry-optimized RbBe3Ir structure. The functional is GGA-PBEsol.

Lattice parameters (Å, degrees): 4.281 4.281 4.281 90.00 90.00 90.00
Fractional positions:
Be1 0.000 0.500 0.000
Ir1 0.500 0.500 0.500
Be2 0.000 0.000 0.500
Be3 0.500 0.000 0.000
Rb1 0.000 0.000 0.000

Energy in eV/atom: -1.64
Formation energy from the elements in eV per atom: 2.93

=====

[2]
This record from Alexandria describes a geometry-optimized RbBe2Ir structure. The functional is GGA-PBEsol.

Lattice parameters (Å, degrees): 4.493 4.493 4.493 60.00 60.00 60.00
Fractional positions:
Be1 0.250 0.250 0.250
Be2 0.750 0.750 0.750
Ir1 0.500 0.500 0.500
Rb1 0.000 0.000 0.000

Energy in eV/atom: -3.51
Formation energy from the elements in eV per atom: 1.20

=====

[3]
This record from Alexandria describes a geometry-optimized RbBeIrS2 structure. The functional is GGA-PBEsol.

Lattice parameters (Å, degrees): 4.943 5.301 5.301 90.00 90.00 90.00
Each line ends with the local moment (μB).
Fractional positions:
S1 0.000 0.000 0.500  0.16
Be1 0.500 0.500 0.500  -0.06
Rb1 0.000 0.000 0.000  0.01
S2 0.000 0.500 0.000  0.16
Ir1 0.500 0.000 0.000  1.16

Formation energy from raw total energies in eV/atom: 2.607
Energy in eV/atom: -2.12

=====

[4]
This record from Alexandria describes a geometry-optimized BeReIr2 structure. The functional is GGA-PBEsol.

Lattice parameters (Å, degrees): 2.724 3.758 5.204 90.00 90.00 90.00
Fractional positions:
Ir1 0.000 0.000 0.956
Ir2 0.500 0.500 0.275
Be1 0.500 0.500 0.779
Re1 0.000 0.000 0.491

Energy in eV/atom: -9.31
Formation energy from the elements in eV per atom: -0.06

=====

[5]
This record from Alexandria describes a geometry-optimized BeReIr2 structure. The functional is GGA-PBEsol.

Lattice parameters (Å, degrees): 2.723 4.530 4.591 99.17 107.25 90.00
Fractional positions:
Be1 0.256 0.782 0.512
Ir1 0.000 0.958 0.001
Ir2 0.749 0.283 0.497
Re1 0.495 0.477 0.990

Energy in eV/atom: -9.35
Formation energy from the elements in eV per atom: -0.10

=====

[6]
This record from Alexandria describes a geometry-optimized BeReIr2 structure. The functional is GGA-PBEsol.

Lattice parameters (Å, degrees): 2.755 2.755 6.580 90.00 90.00 90.00
Fractional positions:
Ir1 0.000 0.000 0.283
Ir2 0.000 0.000 0.717
Be1 0.500 0.500 0.500
Re1 0.500 0.500 0.000

Energy in eV/atom: -9.66
Formation energy from the elements in eV per atom: -0.41

=====

[7]
This record from Alexandria describes a geometry-optimized ScBeReIr2 structure. The functional is GGA-PBEsol.

Lattice parameters (Å, degrees): 4.696 4.696 4.801 90.00 90.00 90.00
Fractional positions:
Ir1 0.000 0.500 0.000
Sc1 0.000 0.000 0.500
Re1 0.000 0.000 0.000
Be1 0.500 0.500 0.500
Ir2 0.500 0.000 0.000

Energy in eV/atom: -7.25
Formation energy from the elements in eV per atom: 1.47

=====

[8]
This record from Alexandria describes a geometry-optimized BeIrRh2 structure. The functional is GGA-PBEsol.

Lattice parameters (Å, degrees): 2.648 2.648 8.281 90.00 90.00 118.90
Fractional positions:
Be1 0.000 0.000 0.503
Rh1 0.000 0.000 0.998
Rh2 0.500 0.500 0.722
Ir1 0.500 0.500 0.278

Energy in eV/atom: -7.50
Formation energy from the elements in eV per atom: 0.03

=====

[9]
This record from Alexandria describes a geometry-optimized BeIrRh2 structure. The functional is GGA-PBEsol.

Lattice parameters (Å, degrees): 2.722 2.722 6.520 90.00 90.00 90.00
Fractional positions:
Rh1 0.500 0.500 0.289
Rh2 0.000 0.000 0.999
Be1 0.000 0.000 0.497
Ir1 0.500 0.500 0.714

Energy in eV/atom: -7.79
Formation energy from the elements in eV per atom: -0.27

=====

[10]
This record from Alexandria describes a geometry-optimized BeIrRh2 structure. The functional is GGA-PBEsol.

Lattice parameters (Å, degrees): 2.710 2.710 6.572 90.00 90.00 90.00
Fractional positions:
Rh1 0.000 0.000 0.788
Ir1 0.500 0.500 0.500
Be1 0.500 0.500 0.000
Rh2 0.000 0.000 0.212

Energy in eV/atom: -7.81
Formation energy from the elements in eV per atom: -0.28

=====

[11]
This record from Alexandria describes a geometry-optimized BeIrRh2 structure. The functional is GGA-PBEsol.

Lattice parameters (Å, degrees): 3.664 3.720 3.720 90.00 90.00 90.00
Fractional positions:
Rh1 0.000 0.000 0.500
Be1 0.500 0.500 0.500
Ir1 0.500 0.000 0.000
Rh2 0.000 0.500 0.000

Energy in eV/atom: -7.57
Formation energy from the elements in eV per atom: -0.05

=====

[12]
This record from Alexandria describes a geometry-optimized BeIrRh2 structure. The functional is GGA-PBEsol.

Lattice parameters (Å, degrees): 2.690 3.841 5.041 90.00 105.41 90.00
Fractional positions:
Rh1 0.581 0.500 0.287
Be1 0.170 0.000 0.470
Ir1 0.314 0.500 0.752
Rh2 0.934 0.000 0.992

Energy in eV/atom: -7.68
Formation energy from the elements in eV per atom: -0.16